Entry a
{"formula": "GdSi2Tc", "functional": "GGA-PBE", "state": "relaxed", "lattice_angstrom": [[-4.3083, -1.9188, -0.3526], [-0.6037, -4.6211, 0.8052], [-2.6217, -1.0383, 5.9652]], "species": ["Tc", "Gd", "Si", "Si"], "fractional_positions": [[0.0000, 0.0000, 0.0000], [0.5000, 0.5000, 0.5000], [0.8710, 0.8710, 0.3871], [0.1290, 0.1290, 0.6129]], "vol_a3_per_fu": 116.4, "m_tot_mub_per_cell": 9.72}


Entry b
{"formula": "GdSi2Tc", "functional": "GGA-PBE", "state": "relaxed", "lattice_angstrom": [[3.1339, 0.0000, 0.0000], [0.0000, 3.1339, 0.0000], [0.0000, 0.0000, 6.8789]], "species": ["Si", "Si", "Gd", "Tc"], "fractional_positions": [[0.0000, 0.0000, 0.8087], [0.0000, 0.0000, 0.1913], [0.5000, 0.5000, 0.5000], [0.5000, 0.5000, 0.0000]], "vol_a3_per_fu": 67.6, "m_tot_mub_per_cell": 7.61}


Most stable structure - entry b; separation to the second - 149.8 kJ/mol of atoms.


Entry a
{"formula": "Gd2ThSi", "functional": "GGA-PBE", "state": "relaxed", "lattice_angstrom": [[-0.3919, -0.2768, 4.7347], [3.5477, -3.0423, 0.1159], [3.0201, 3.5392, 0.4569]], "species": ["Th", "Gd", "Gd", "Si"], "fractional_positions": [[0.5000, 0.0000, 0.0000], [0.0000, 0.0000, 0.5000], [0.0000, 0.5000, 0.0000], [0.5000, 0.5000, 0.5000]], "vol_a3_per_fu": 104.0, "m_tot_mub_per_cell": 14.57}


Entry b
{"formula": "Gd2ThSi", "functional": "GGA-PBE", "state": "relaxed", "lattice_angstrom": [[3.7903, 0.0000, 0.0000], [0.0000, 3.7903, 0.0000], [0.0000, 0.0000, 7.3730]], "species": ["Gd", "Gd", "Th", "Si"], "fractional_positions": [[0.0000, 0.0000, 0.7991], [0.0000, 0.0000, 0.2009], [0.5000, 0.5000, 0.5000], [0.5000, 0.5000, 0.0000]], "vol_a3_per_fu": 105.9, "m_tot_mub_per_cell": 14.61}


Most stable structure - entry b; separation to the second - 2.0 kJ/mol of atoms.


Entry a
{"formula": "GdThSi", "functional": "GGA-PBE", "state": "relaxed", "lattice_angstrom": [[4.1911, 0.0000, 0.0000], [0.0000, 4.7053, 0.0000], [0.0000, -2.3526, 4.0749]], "species": ["Th", "Gd", "Si"], "fractional_positions": [[0.2840, 0.3333, 0.6667], [0.7527, 0.6667, 0.3333], [0.9633, 0.0000, 0.0000]], "vol_a3_per_fu": 80.4, "m_tot_mub_per_cell": 7.35}


Entry b
{"formula": "GdThSi", "functional": "GGA-PBE", "state": "relaxed", "lattice_angstrom": [[4.9242, 0.0000, 0.0000], [2.4621, 4.2645, 0.0000], [2.4621, 1.4215, 4.0206]], "species": ["Gd", "Si", "Th"], "fractional_positions": [[0.0000, 0.0000, 0.0000], [0.2500, 0.2500, 0.2500], [0.5000, 0.5000, 0.5000]], "vol_a3_per_fu": 84.4, "m_tot_mub_per_cell": 7.29}


Most stable structure - entry b; separation to the second - 17.7 kJ/mol of atoms.